Entry 1:
VCr2TeOs (GGA-PBE, relaxed); DFT total energy = -7.515 eV/atom; spin magnetization = 8.3 Bohr magnetons per cell; SG = P4/mmm; calculated density = 7.3 g/cm3; density of states at the Fermi level = 7.6 states/eV/cell; crystal system = tetragonal
1.0
-4.6962 0.7549 0.6465
-0.9375 -4.4017 -1.6700
0.3202 -1.7069 4.3193
Cr Te Os V
2 1 1 1
Direct
0.0000 0.5000 0.0000 Cr
0.5000 0.0000 0.0000 Cr
0.5000 0.5000 0.5000 Te
0.0000 0.0000 0.0000 Os
0.0000 0.0000 0.5000 V

Entry 2:
ScSi2Mo (GGA-PBE, relaxed); DFT total energy = -7.448 eV/atom; spin magnetization = 0.0 Bohr magnetons per cell; SG = C2/m; ΔE to the lowest computed polymorph = 92 meV per atom; calculated density = 4.9 g/cm3; density of states at the Fermi level = 1.8 states/eV/cell; crystal system = monoclinic
1.0
4.4609 -0.0046 0.0128
3.0753 3.2315 0.0128
1.6594 0.7105 4.5987
Mo Sc Si
1 1 2
Direct
0.7500 0.7500 0.7500 Mo
0.2500 0.2500 0.2500 Sc
0.0117 0.0117 0.9230 Si
0.4883 0.4883 0.5770 Si

Entry 3:
MgPt2Se (GGA-PBE, relaxed); DFT total energy = -4.634 eV/atom; spin magnetization = 0.0 Bohr magnetons per cell; SG = P4/mmm; ΔE to the lowest computed polymorph = 0 meV per atom; calculated density = 12.3 g/cm3; density of states at the Fermi level = 2.5 states/eV/cell; crystal system = tetragonal
1.0
-0.3731 1.6664 -3.7201
-1.1869 -3.6223 -1.5036
-3.7738 0.9102 0.7862
Mg Pt Se
1 2 1
Direct
0.0000 0.5000 0.5000 Mg
0.0000 0.0000 0.0000 Pt
0.5000 0.5000 0.0000 Pt
0.5000 0.0000 0.5000 Se

Entry 4:
ZrPaAlMo (GGA-PBE, relaxed); DFT total energy = -8.163 eV/atom; spin magnetization = 0.0 Bohr magnetons per cell; SG = F-43m; calculated density = 9.0 g/cm3; density of states at the Fermi level = 3.2 states/eV/cell; crystal system = cubic
1.0
4.8826 0.0000 0.0000
2.4413 4.2284 0.0000
2.4413 1.4095 3.9866
Mo Pa Al Zr
1 1 1 1
Direct
0.2500 0.2500 0.2500 Mo
0.5000 0.5000 0.5000 Pa
0.7500 0.7500 0.7500 Al
0.0000 0.0000 0.0000 Zr

Entry 5:
LiPmY2Cd4 (GGA-PBE, relaxed); DFT total energy = -3.189 eV/atom; spin magnetization = 0.0 Bohr magnetons per cell; SG = R-3m; calculated density = 6.3 g/cm3; density of states at the Fermi level = 8.2 states/eV/cell; crystal system = trigonal
1.0
-1.5119 4.9022 -0.9372
-3.2145 2.4171 3.3196
5.2410 5.3929 5.2445
Li Pm Y Cd
1 1 2 4
Direct
0.5000 0.5000 0.5000 Li
0.0000 0.0000 0.0000 Pm
0.7533 0.7533 0.7402 Y
0.2467 0.2467 0.2598 Y
0.3823 0.3823 0.8531 Cd
0.8733 0.8733 0.3801 Cd
0.1267 0.1267 0.6199 Cd
0.6177 0.6177 0.1469 Cd

Entry 6:
TbSnIr (GGA-PBE, relaxed); DFT total energy = -6.488 eV/atom; spin magnetization = 0.0 Bohr magnetons per cell; SG = P-6m2; calculated density = 12.1 g/cm3; density of states at the Fermi level = 1.7 states/eV/cell; crystal system = hexagonal
1.0
3.4133 0.0000 0.0000
0.0000 4.6782 0.0000
0.0000 -2.3391 4.0514
Ir Tb Sn
1 1 1
Direct
0.1668 0.0000 0.0000 Ir
0.6667 0.6667 0.3333 Tb
0.1665 0.3333 0.6667 Sn

Entry 7:
TaP2Br (GGA-PBE, relaxed); DFT total energy = -6.122 eV/atom; spin magnetization = 0.0 Bohr magnetons per cell; SG = R-3m; ΔE to the lowest computed polymorph = 323 meV per atom; calculated density = 6.9 g/cm3; density of states at the Fermi level = 3.2 states/eV/cell; crystal system = trigonal
1.0
8.3195 0.0176 0.0104
7.6459 3.2794 0.0104
7.6459 1.5789 2.8743
Br P Ta
1 2 1
Direct
0.7500 0.7500 0.7500 Br
0.9839 0.9839 0.9839 P
0.5161 0.5161 0.5161 P
0.2500 0.2500 0.2500 Ta

Entry 8:
Ta2RuAu (GGA-PBE, relaxed); DFT total energy = -9.218 eV/atom; spin magnetization = 0.0 Bohr magnetons per cell; SG = P4/mmm; ΔE to the lowest computed polymorph = 10 meV per atom; calculated density = 16.1 g/cm3; density of states at the Fermi level = 3.6 states/eV/cell; crystal system = tetragonal
1.0
2.9731 -0.0054 0.0000
0.0044 2.9731 0.0000
0.0000 0.0000 7.6810
Ru Au Ta
1 1 2
Direct
0.5000 0.5000 0.7500 Ru
0.5000 0.5000 0.2500 Au
0.0000 0.0000 0.9783 Ta
0.0000 0.0000 0.5217 Ta